# Li2AgWO4

Li2AgWO4 after structural relaxation (PBE+U, Alexandria via LeMat-Bulk).

Unit cell a=5.256 b=5.256 c=7.667 alpha=90.00 beta=90.00 gamma=90.00
Sites, in units of the cell vectors:
1 Li 0.000 0.500 0.250
2 Li 0.000 0.500 0.750
3 Li 0.500 0.000 0.250
4 Li 0.500 0.000 0.750
5 Ag 0.000 0.000 0.000
6 Ag 0.500 0.500 0.500
7 W 0.000 0.000 0.500
8 W 0.500 0.500 0.000
9 O 0.215 0.215 0.632
10 O 0.215 0.785 0.368
11 O 0.285 0.285 0.132
12 O 0.285 0.715 0.868
13 O 0.715 0.285 0.868
14 O 0.715 0.715 0.132
15 O 0.785 0.215 0.368
16 O 0.785 0.785 0.632

Calculated values
final energy: -0.4242 Ry/atom
magnetization: 2.001 μB per cell

=====

# LiAg2WO

LiAg2WO after structural relaxation (PBE+U, Alexandria via LeMat-Bulk).

Unit cell a=4.201 b=4.201 c=5.153 alpha=90.00 beta=90.00 gamma=90.00
Sites, in units of the cell vectors:
1 Li 0.000 0.000 0.000
2 Ag 0.000 0.500 0.000
3 Ag 0.500 0.000 0.000
4 W 0.000 0.000 0.500
5 O 0.500 0.500 0.500

Calculated values
final energy: -0.2068 Ry/atom
magnetization: 3.398 μB per cell

=====

# LiZn2AgWO6

LiZn2AgWO6 after structural relaxation (PBE+U, Alexandria via LeMat-Bulk).

Unit cell a=5.459 b=5.528 c=5.763 alpha=63.90 beta=71.95 gamma=61.42
Sites, in units of the cell vectors:
1 Li 0.000 0.000 0.000
2 Zn 0.396 0.363 0.861
3 Zn 0.981 0.814 0.519
4 Ag 0.354 0.097 0.509
5 W 0.693 0.593 0.166
6 O 0.009 0.682 0.890
7 O 0.390 0.538 0.453
8 O 0.411 0.966 0.960
9 O 0.673 0.396 0.973
10 O 0.767 0.800 0.318
11 O 0.955 0.224 0.363

Calculated values
final energy: -0.4054 Ry/atom
magnetization: 0.000 μB per cell